# 1
Crystalline TiMoOs at its relaxed geometry, computed with PBE-GGA.

POSCAR file:
```
TiMoOs
1.0
3.110 0.000 0.000
0.000 4.376 0.000
-1.555 0.000 6.695
Mo Os Ti
2 2 2
Direct
0.750 0.250 0.500 Mo
0.250 0.750 0.500 Mo
0.083 0.250 0.166 Os
0.917 0.750 0.834 Os
0.419 0.250 0.839 Ti
0.581 0.750 0.161 Ti
```

## Properties
Energy of formation in eV per atom: -0.38
N(E_F) in states/eV/atom: 0.46

# 2
Crystalline TiZnSb2Te at its relaxed geometry, computed with PBE-GGA.

POSCAR file:
```
TiZnSb2Te
1.0
-2.997 3.317 -2.845
-3.731 -3.739 -0.428
-2.266 1.754 4.432
Sb Zn Te Ti
2 1 1 1
Direct
0.000 0.500 0.000 Sb
0.500 0.000 0.000 Sb
0.500 0.500 0.500 Zn
0.000 0.000 0.500 Te
0.000 0.000 0.000 Ti
```

## Properties
Formation energy from raw total energies in eV per atom: 0.19
N(E_F) in states/eV/atom: 0.82